Mg2ZrAu2 after structural relaxation. Source: the Alexandria database, functional PBE.

Properties
- Crystal system: tetragonal
- ρ: 9.4 g/cm3
- Distance to the lowest polymorph of the same formula: 0.050 eV per atom
- Calculated volume: 18.914 Å³ per atom
- Formation energy from the elements: -0.378 eV/atom

Lattice parameters (Å, degrees): 8.0414 8.0414 2.9250 90.00 90.00 90.00
Positions (direct):
Au 0.8283 0.3283 0.5000
Au 0.1717 0.6717 0.5000
Au 0.3283 0.1717 0.5000
Au 0.6717 0.8283 0.5000
Mg 0.6266 0.1266 0.0000
Mg 0.8734 0.6266 0.0000
Mg 0.3734 0.8734 0.0000
Mg 0.1266 0.3734 0.0000
Zr 0.5000 0.5000 0.0000
Zr 0.0000 0.0000 0.0000